# 1
The following is a DFT calculation (PBE) of crystalline KHRu2 at its relaxed geometry.

abc: 8.1489 8.1489 8.1489
angles: 90.00 90.00 90.00
Space group Fd-3m (No. 227, origin choice 2)
Symmetry-distinct sites (fractional):
K  0.1250  0.1250  0.1250 x8
H  0.1250  0.1250  0.6250 x8
Ru  0.0000  0.0000  0.5000 x16

Properties
total magnetic moment = 22.11 Bohr magnetons per cell
relative energy among the computed polymorphs = 0 meV/atom

***

# 2
The following is a DFT calculation (PBE) of crystalline PuFe3Cl12 at its relaxed geometry.

abc: 12.1771 12.1771 7.5202
angles: 90.00 90.00 120.00
Space group P6_3/m (No. 176)
Symmetry-distinct sites (fractional):
Pu  0.3333  0.6667  0.2500 x2
Fe  0.0983  0.3974  0.7500 x6
Cl  0.0074  0.1951  0.7500 x6
Cl  0.0337  0.5278  0.2500 x6
Cl  0.2277  0.4681  0.5109 x12

Properties
total magnetic moment = 40.18 Bohr magnetons per cell
E = -155.41 eV/cell

***

# 3
The following is a DFT calculation (PBE) of crystalline DyHoHg4 at its relaxed geometry.

abc: 3.4293 4.9622 8.5447
angles: 90.00 90.00 90.00
Space group Pmmm (No. 47)
Symmetry-distinct sites (fractional):
Dy  0.0000  0.0000  0.0000 x1
Ho  0.0000  0.5000  0.5000 x1
Hg  0.5000  0.0000  0.3331 x2
Hg  0.5000  0.5000  0.1673 x2

Properties
total magnetic moment = 0.00 Bohr magnetons per cell
relative energy among the computed polymorphs = 0 meV/atom

***

# 4
The following is a DFT calculation (PBE) of crystalline Tb2NiIr3 at its relaxed geometry.

abc: 5.3965 5.3965 12.5068
angles: 90.00 90.00 120.00
Space group R-3m (No. 166, hexagonal axes)
Symmetry-distinct sites (fractional):
Tb  0.0000  0.0000  0.1258 x6
Ni  0.0000  0.0000  0.5000 x3
Ir  0.0000  0.5000  0.0000 x9

Properties
total magnetic moment = 0.00 Bohr magnetons per cell
relative energy among the computed polymorphs = 0 meV/atom

***

# 5
The following is a DFT calculation (PBE) of crystalline Sm4Te2AsPb at its relaxed geometry.

abc: 7.6445 4.4055 7.6822
angles: 90.00 109.26 90.00
Space group P2/m (No. 10)
Symmetry-distinct sites (fractional):
Sm  0.2338  0.0000  0.2276 x2
Sm  0.2456  0.5000  0.7640 x2
Te  0.0000  0.0000  0.5000 x1
Te  0.5000  0.5000  0.5000 x1
As  0.0000  0.5000  0.0000 x1
Pb  0.5000  0.0000  0.0000 x1

Properties
total magnetic moment = 0.00 Bohr magnetons per cell
E = -43.57 eV/cell

***

# 6
The following is a DFT calculation (PBE) of crystalline Hf5PaTc6 at its relaxed geometry.

abc: 4.6589 13.9278 6.5590
angles: 90.00 90.00 90.00
Space group Cmmm (No. 65)
Symmetry-distinct sites (fractional):
Hf  0.0000  0.0000  0.0000 x2
Hf  0.0000  0.3280  0.5000 x4
Hf  0.0000  0.3322  0.0000 x4
Pa  0.0000  0.0000  0.5000 x2
Tc  0.0000  0.1635  0.2530 x8
Tc  0.0000  0.5000  0.2557 x4

Properties
total magnetic moment = 0.00 Bohr magnetons per cell
E = -255.16 eV/cell